[1]
A relaxed Mg2HgPd6 crystal. Source: Alexandria via LeMat-Bulk, functional PBE.

Cell lengths 6.197, 6.197, 6.197 Å; angles 135.93, 103.45, 92.80 degrees
Positions (direct):
Mg: 0.171 0.171 0.000
Mg: 0.829 0.829 0.000
Hg: 0.500 0.500 0.000
Pd: 0.020 0.333 0.688
Pd: 0.296 0.000 0.296
Pd: 0.355 0.667 0.688
Pd: 0.645 0.333 0.312
Pd: 0.704 0.000 0.704
Pd: 0.980 0.667 0.312

Computed properties:
SG   No. 71
Polymorph energy (0 for the lowest one)   122 meV per atom

---

[2]
A relaxed Mg5Hg2Pd crystal. Source: Alexandria via LeMat-Bulk, functional PBE.

Cell lengths 6.057, 11.427, 4.632 Å; angles 90.00, 90.00, 90.00 degrees
Positions (direct):
Mg: 0.000 0.000 0.000
Mg: 0.116 0.270 0.000
Mg: 0.162 0.602 0.500
Mg: 0.338 0.102 0.500
Mg: 0.384 0.770 0.000
Mg: 0.500 0.500 0.000
Mg: 0.616 0.230 0.000
Mg: 0.662 0.898 0.500
Mg: 0.838 0.398 0.500
Mg: 0.884 0.730 0.000
Hg: 0.146 0.859 0.500
Hg: 0.354 0.359 0.500
Hg: 0.646 0.641 0.500
Hg: 0.854 0.141 0.500
Pd: 0.000 0.500 0.000
Pd: 0.500 0.000 0.000

Computed properties:
SG   No. 55

---

[3]
A relaxed MgHg3Pd12 crystal. Source: Alexandria via LeMat-Bulk, functional PBE.

Cell lengths 4.019, 4.019, 16.330 Å; angles 90.00, 90.00, 90.00 degrees
Positions (direct):
Mg: 0.000 0.000 0.000
Hg: 0.000 0.000 0.247
Hg: 0.000 0.000 0.500
Hg: 0.000 0.000 0.753
Pd: 0.000 0.500 0.120
Pd: 0.000 0.500 0.373
Pd: 0.000 0.500 0.627
Pd: 0.000 0.500 0.880
Pd: 0.500 0.000 0.120
Pd: 0.500 0.000 0.373
Pd: 0.500 0.000 0.627
Pd: 0.500 0.000 0.880
Pd: 0.500 0.500 0.000
Pd: 0.500 0.500 0.246
Pd: 0.500 0.500 0.500
Pd: 0.500 0.500 0.754

Computed properties:
SG   No. 123

---

[4]
A relaxed MgHg3Pd6 crystal. Source: Alexandria via LeMat-Bulk, functional PBE.

Cell lengths 7.819, 4.681, 9.884 Å; angles 90.00, 108.88, 90.00 degrees
Positions (direct):
Mg: 0.056 0.250 0.389
Mg: 0.944 0.750 0.611
Hg: 0.239 0.250 0.993
Hg: 0.345 0.750 0.800
Hg: 0.460 0.250 0.599
Hg: 0.540 0.750 0.401
Hg: 0.655 0.250 0.200
Hg: 0.761 0.750 0.007
Pd: 0.045 0.750 0.899
Pd: 0.143 0.250 0.681
Pd: 0.145 0.750 0.207
Pd: 0.233 0.750 0.503
Pd: 0.345 0.250 0.295
Pd: 0.445 0.750 0.101
Pd: 0.555 0.250 0.899
Pd: 0.655 0.750 0.705
Pd: 0.767 0.250 0.497
Pd: 0.855 0.250 0.793
Pd: 0.857 0.750 0.319
Pd: 0.955 0.250 0.101

Computed properties:
SG   No. 11
Polymorph energy (0 for the lowest one)   0 meV per atom

---

[5]
A relaxed Mg5Hg4Pd2 crystal. Source: Alexandria via LeMat-Bulk, functional PBE.

Cell lengths 7.570, 17.415, 3.292 Å; angles 90.00, 90.00, 90.00 degrees
Positions (direct):
Mg: 0.000 0.000 0.000
Mg: 0.121 0.420 0.000
Mg: 0.250 0.216 0.000
Mg: 0.250 0.716 0.000
Mg: 0.379 0.920 0.000
Mg: 0.500 0.500 0.000
Mg: 0.621 0.080 0.000
Mg: 0.750 0.284 0.000
Mg: 0.750 0.784 0.000
Mg: 0.879 0.580 0.000
Hg: 0.078 0.852 0.500
Hg: 0.206 0.563 0.500
Hg: 0.294 0.063 0.500
Hg: 0.422 0.352 0.500
Hg: 0.578 0.648 0.500
Hg: 0.706 0.937 0.500
Hg: 0.794 0.437 0.500
Hg: 0.922 0.148 0.500
Pd: 0.039 0.303 0.500
Pd: 0.461 0.803 0.500
Pd: 0.539 0.197 0.500
Pd: 0.961 0.697 0.500

Computed properties:
SG   No. 55

---

[6]
A relaxed Mg6HgPd2 crystal. Source: Alexandria via LeMat-Bulk, functional PBE.

Cell lengths 7.807, 7.807, 7.807 Å; angles 113.16, 111.50, 103.90 degrees
Positions (direct):
Mg: 0.043 0.839 0.204
Mg: 0.249 0.546 0.297
Mg: 0.249 0.952 0.703
Mg: 0.290 0.317 0.607
Mg: 0.290 0.683 0.972
Mg: 0.366 0.161 0.204
Mg: 0.634 0.839 0.796
Mg: 0.710 0.317 0.028
Mg: 0.710 0.683 0.393
Mg: 0.751 0.048 0.297
Mg: 0.751 0.454 0.703
Mg: 0.957 0.161 0.796
Hg: 0.000 0.500 0.500
Hg: 0.500 0.000 0.500
Pd: 0.000 0.167 0.167
Pd: 0.000 0.833 0.833
Pd: 0.357 0.357 0.000
Pd: 0.643 0.643 0.000

Computed properties:
SG   No. 71
Polymorph energy (0 for the lowest one)   0 meV per atom

---

[7]
A relaxed Mg2Hg3Pd4 crystal. Source: Alexandria via LeMat-Bulk, functional PBE.

Cell lengths 4.250, 4.886, 8.713 Å; angles 78.44, 89.86, 64.36 degrees
Positions (direct):
Mg: 0.168 0.163 0.213
Mg: 0.832 0.837 0.787
Hg: 0.165 0.172 0.565
Hg: 0.500 0.500 0.000
Hg: 0.835 0.828 0.435
Pd: 0.169 0.163 0.893
Pd: 0.499 0.506 0.677
Pd: 0.501 0.494 0.323
Pd: 0.831 0.837 0.107

Computed properties:
SG   No. 2

---

[8]
A relaxed MgHg2Pd2 crystal. Source: Alexandria via LeMat-Bulk, functional PBE.

Cell lengths 3.946, 3.946, 13.329 Å; angles 90.00, 90.00, 90.00 degrees
Positions (direct):
Mg: 0.000 0.000 0.000
Mg: 0.500 0.500 0.500
Hg: 0.000 0.000 0.396
Hg: 0.000 0.000 0.604
Hg: 0.500 0.500 0.104
Hg: 0.500 0.500 0.896
Pd: 0.000 0.500 0.250
Pd: 0.000 0.500 0.750
Pd: 0.500 0.000 0.250
Pd: 0.500 0.000 0.750

Computed properties:
SG   No. 139
Polymorph energy (0 for the lowest one)   222 meV per atom

---

[9]
A relaxed Mg12Hg3Pd crystal. Source: Alexandria via LeMat-Bulk, functional PBE.

Cell lengths 4.338, 4.338, 17.602 Å; angles 90.00, 90.00, 90.00 degrees
Positions (direct):
Mg: 0.000 0.000 0.000
Mg: 0.000 0.000 0.244
Mg: 0.000 0.000 0.500
Mg: 0.000 0.000 0.756
Mg: 0.000 0.500 0.113
Mg: 0.000 0.500 0.373
Mg: 0.000 0.500 0.627
Mg: 0.000 0.500 0.887
Mg: 0.500 0.000 0.113
Mg: 0.500 0.000 0.373
Mg: 0.500 0.000 0.627
Mg: 0.500 0.000 0.887
Hg: 0.500 0.500 0.246
Hg: 0.500 0.500 0.500
Hg: 0.500 0.500 0.754
Pd: 0.500 0.500 0.000

Computed properties:
SG   No. 123

---

[10]
A relaxed Mg4HgPd5 crystal. Source: Alexandria via LeMat-Bulk, functional PBE.

Cell lengths 3.251, 3.251, 15.641 Å; angles 90.00, 90.00, 90.00 degrees
Positions (direct):
Mg: 0.000 0.000 0.098
Mg: 0.000 0.000 0.295
Mg: 0.000 0.000 0.705
Mg: 0.000 0.000 0.902
Hg: 0.000 0.000 0.500
Pd: 0.500 0.500 0.000
Pd: 0.500 0.500 0.196
Pd: 0.500 0.500 0.389
Pd: 0.500 0.500 0.611
Pd: 0.500 0.500 0.804

Computed properties:
SG   No. 123

---

[11]
A relaxed MgHg2Pd8 crystal. Source: Alexandria via LeMat-Bulk, functional PBE.

Cell lengths 7.442, 7.442, 4.898 Å; angles 106.17, 106.17, 120.86 degrees
Positions (direct):
Mg: 0.000 0.000 0.000
Hg: 0.306 0.694 0.500
Hg: 0.694 0.306 0.500
Pd: 0.104 0.326 0.640
Pd: 0.205 0.795 0.000
Pd: 0.326 0.104 0.640
Pd: 0.412 0.412 0.186
Pd: 0.588 0.588 0.814
Pd: 0.674 0.896 0.360
Pd: 0.795 0.205 0.000
Pd: 0.896 0.674 0.360

Computed properties:
SG   No. 12
Polymorph energy (0 for the lowest one)   174 meV per atom

---

[12]
A relaxed MgHg6Pd12 crystal. Source: Alexandria via LeMat-Bulk, functional PBE.

Cell lengths 7.170, 7.170, 7.170 Å; angles 102.19, 102.19, 102.19 degrees
Positions (direct):
Mg: 0.000 0.000 0.000
Hg: 0.169 0.170 0.436
Hg: 0.170 0.436 0.169
Hg: 0.436 0.169 0.170
Hg: 0.564 0.831 0.830
Hg: 0.830 0.564 0.831
Hg: 0.831 0.830 0.564
Pd: 0.001 0.746 0.254
Pd: 0.184 0.591 0.590
Pd: 0.254 0.001 0.746
Pd: 0.254 0.746 0.999
Pd: 0.409 0.410 0.816
Pd: 0.410 0.816 0.409
Pd: 0.590 0.184 0.591
Pd: 0.591 0.590 0.184
Pd: 0.746 0.254 0.001
Pd: 0.746 0.999 0.254
Pd: 0.816 0.409 0.410
Pd: 0.999 0.254 0.746

Computed properties:
SG   No. 148

---

[13]
A relaxed Mg3Hg2Pd crystal. Source: Alexandria via LeMat-Bulk, functional PBE.

Cell lengths 3.321, 3.321, 10.552 Å; angles 90.00, 90.00, 90.00 degrees
Positions (direct):
Mg: 0.000 0.000 0.000
Mg: 0.000 0.000 0.360
Mg: 0.000 0.000 0.640
Hg: 0.500 0.500 0.181
Hg: 0.500 0.500 0.819
Pd: 0.500 0.500 0.500

Computed properties:
SG   No. 123
Polymorph energy (0 for the lowest one)   0 meV per atom

---

[14]
A relaxed MgHg2Pd crystal. Source: Alexandria via LeMat-Bulk, functional PBE.

Cell lengths 4.247, 4.247, 4.249 Å; angles 90.00, 90.00, 90.00 degrees
Positions (direct):
Mg: 0.000 0.000 0.000
Hg: 0.000 0.500 0.500
Hg: 0.500 0.000 0.500
Pd: 0.500 0.500 0.000

Computed properties:
SG   No. 123

---

[15]
A relaxed MgHg2Pd8 crystal. Source: Alexandria via LeMat-Bulk, functional PBE.

Cell lengths 7.486, 7.486, 6.364 Å; angles 105.14, 105.14, 31.76 degrees
Positions (direct):
Mg: 0.000 0.000 0.000
Hg: 0.276 0.276 0.352
Hg: 0.724 0.724 0.648
Pd: 0.089 0.089 0.450
Pd: 0.176 0.176 0.908
Pd: 0.366 0.366 0.825
Pd: 0.459 0.459 0.274
Pd: 0.541 0.541 0.726
Pd: 0.634 0.634 0.175
Pd: 0.824 0.824 0.092
Pd: 0.911 0.911 0.550

Computed properties:
SG   No. 12
Polymorph energy (0 for the lowest one)   0 meV per atom

---

[16]
A relaxed Mg6HgPd2 crystal. Source: Alexandria via LeMat-Bulk, functional PBE.

Cell lengths 7.075, 6.848, 9.903 Å; angles 90.00, 129.54, 90.00 degrees
Positions (direct):
Mg: 0.008 0.147 0.212
Mg: 0.008 0.353 0.712
Mg: 0.346 0.144 0.074
Mg: 0.346 0.356 0.574
Mg: 0.428 0.640 0.063
Mg: 0.428 0.860 0.563
Mg: 0.572 0.140 0.437
Mg: 0.572 0.360 0.937
Mg: 0.654 0.644 0.426
Mg: 0.654 0.856 0.926
Mg: 0.992 0.647 0.288
Mg: 0.992 0.853 0.788
Hg: 0.000 0.000 0.500
Hg: 0.000 0.500 0.000
Pd: 0.225 0.649 0.688
Pd: 0.225 0.851 0.188
Pd: 0.775 0.149 0.812
Pd: 0.775 0.351 0.312

Computed properties:
SG   No. 14
Polymorph energy (0 for the lowest one)   76 meV per atom

---

[17]
A relaxed Mg5Hg3Pd12 crystal. Source: Alexandria via LeMat-Bulk, functional PBE.

Cell lengths 13.140, 13.140, 13.140 Å; angles 109.47, 109.47, 109.47 degrees
Positions (direct):
Mg: 0.000 0.000 0.000
Mg: 0.000 0.000 0.500
Mg: 0.000 0.500 0.000
Mg: 0.000 0.500 0.500
Mg: 0.125 0.750 0.875
Mg: 0.125 0.875 0.250
Mg: 0.250 0.125 0.875
Mg: 0.250 0.625 0.375
Mg: 0.375 0.250 0.625
Mg: 0.375 0.625 0.750
Mg: 0.500 0.000 0.000
Mg: 0.500 0.000 0.500
Mg: 0.500 0.500 0.000
Mg: 0.500 0.500 0.500
Mg: 0.625 0.375 0.250
Mg: 0.625 0.750 0.375
Mg: 0.750 0.375 0.625
Mg: 0.750 0.875 0.125
Mg: 0.875 0.125 0.750
Mg: 0.875 0.250 0.125
Hg: 0.125 0.250 0.375
Hg: 0.125 0.375 0.750
Hg: 0.250 0.375 0.125
Hg: 0.250 0.875 0.625
Hg: 0.375 0.125 0.250
Hg: 0.375 0.750 0.125
Hg: 0.625 0.250 0.875
Hg: 0.625 0.875 0.750
Hg: 0.750 0.125 0.375
Hg: 0.750 0.625 0.875
Hg: 0.875 0.625 0.250
Hg: 0.875 0.750 0.625
Pd: 0.064 0.224 0.142
Pd: 0.064 0.340 0.922
Pd: 0.078 0.642 0.418
Pd: 0.078 0.936 0.660
Pd: 0.082 0.724 0.660
Pd: 0.082 0.858 0.422
Pd: 0.142 0.064 0.224
Pd: 0.142 0.578 0.918
Pd: 0.160 0.224 0.582
Pd: 0.160 0.436 0.578
Pd: 0.224 0.142 0.064
Pd: 0.224 0.582 0.160
Pd: 0.276 0.340 0.918
Pd: 0.276 0.436 0.358
Pd: 0.340 0.918 0.276
Pd: 0.340 0.922 0.064
Pd: 0.358 0.276 0.436
Pd: 0.358 0.582 0.922
Pd: 0.418 0.078 0.642
Pd: 0.418 0.840 0.776
Pd: 0.422 0.082 0.858
Pd: 0.422 0.840 0.564
Pd: 0.436 0.358 0.276
Pd: 0.436 0.578 0.160
Pd: 0.564 0.422 0.840
Pd: 0.564 0.642 0.724
Pd: 0.578 0.160 0.436
Pd: 0.578 0.918 0.142
Pd: 0.582 0.160 0.224
Pd: 0.582 0.922 0.358
Pd: 0.642 0.418 0.078
Pd: 0.642 0.724 0.564
Pd: 0.660 0.078 0.936
Pd: 0.660 0.082 0.724
Pd: 0.724 0.564 0.642
Pd: 0.724 0.660 0.082
Pd: 0.776 0.418 0.840
Pd: 0.776 0.858 0.936
Pd: 0.840 0.564 0.422
Pd: 0.840 0.776 0.418
Pd: 0.858 0.422 0.082
Pd: 0.858 0.936 0.776
Pd: 0.918 0.142 0.578
Pd: 0.918 0.276 0.340
Pd: 0.922 0.064 0.340
Pd: 0.922 0.358 0.582
Pd: 0.936 0.660 0.078
Pd: 0.936 0.776 0.858

Computed properties:
SG   No. 230

---

Number 1: uncorrected energy -4.165 eV per atom, N(E_F) 4.47 states/eV/f.u., energy relative to the elements -0.31 eV/atom. Number 2: uncorrected energy -2.041 eV per atom, N(E_F) 3.17 states/eV/f.u., energy relative to the elements -0.32 eV/atom. Number 3: uncorrected energy -4.241 eV per atom, N(E_F) 23.55 states/eV/f.u., energy relative to the elements -0.19 eV/atom. Number 4: uncorrected energy -3.650 eV per atom, N(E_F) 3.32 states/eV/f.u., energy relative to the elements -0.28 eV/atom. Number 5: uncorrected energy -2.159 eV per atom, N(E_F) 3.63 states/eV/f.u., energy relative to the elements -0.38 eV/atom. Number 6: uncorrected energy -2.656 eV per atom, N(E_F) 3.77 states/eV/f.u., energy relative to the elements -0.41 eV/atom. Number 7: uncorrected energy -3.151 eV per atom, N(E_F) 2.67 states/eV/f.u., energy relative to the elements -0.39 eV/atom. Number 8: uncorrected energy -2.582 eV per atom, N(E_F) 2.26 states/eV/f.u., energy relative to the elements -0.07 eV/atom. Number 9: uncorrected energy -1.773 eV per atom, N(E_F) 5.50 states/eV/f.u., energy relative to the elements -0.20 eV/atom. Number 10: uncorrected energy -3.890 eV per atom, N(E_F) 3.80 states/eV/f.u., energy relative to the elements -0.63 eV/atom. Number 11: uncorrected energy -4.057 eV per atom, N(E_F) 10.33 states/eV/f.u., energy relative to the elements -0.08 eV/atom. Number 12: uncorrected energy -3.546 eV per atom, N(E_F) 12.10 states/eV/f.u., energy relative to the elements -0.09 eV/atom. Number 13: uncorrected energy -2.171 eV per atom, N(E_F) 1.55 states/eV/f.u., energy relative to the elements -0.41 eV/atom. Number 14: uncorrected energy -2.083 eV per atom, N(E_F) 1.78 states/eV/f.u., energy relative to the elements -0.24 eV/atom. Number 15: uncorrected energy -4.231 eV per atom, N(E_F) 8.79 states/eV/f.u., energy relative to the elements -0.25 eV/atom. Number 16: uncorrected energy -2.580 eV per atom, N(E_F) 3.88 states/eV/f.u., energy relative to the elements -0.33 eV/atom. Number 17: uncorrected energy -3.438 eV per atom, N(E_F) 8.85 states/eV/f.u., energy relative to the elements 0.12 eV/atom.